# SbS | Alexandria | PBE-GGA | optimized geometry
# Total magnetization   4.264 μB/cell
# Electronic total energy   -3.9225 eV/atom
# Formation energy (no corrections)   202.4 meV/atom
data_SbS
_chemical_formula_sum 'Sb8 S8'
_symmetry_space_group_name_H-M 'I -4 3 m'
_symmetry_Int_Tables_number 217
_symmetry_space_group_name_Hall 'I -4 2 3'
_cell_length_a 9.530
_cell_length_b 9.530
_cell_length_c 9.530
_cell_angle_alpha 90.00
_cell_angle_beta 90.00
_cell_angle_gamma 90.00
loop_
_atom_site_label
_atom_site_fract_x
_atom_site_fract_y
_atom_site_fract_z
Sb1 0.143 0.143 0.857
S1 0.129 0.129 0.129